*w*
# ZnHgCl2 SCAN single point on PBEsol structure
data_ZnHgCl2
_chemical_formula_sum 'Zn1 Hg1 Cl2'
_symmetry_space_group_name_H-M 'P 1 m 1'
_symmetry_Int_Tables_number 6
_cell_length_a 5.380
_cell_length_b 3.411
_cell_length_c 5.702
_cell_angle_alpha 90.00
_cell_angle_beta 112.56
_cell_angle_gamma 90.00
loop_
_symmetry_equiv_pos_as_xyz
'x,y,z'
'x,-y,z'
loop_
_atom_site_label
_atom_site_fract_x
_atom_site_fract_y
_atom_site_fract_z
Zn1 0.000 0.000 0.000
Hg1 0.309 0.500 0.856
Cl1 0.613 0.000 0.653
Cl2 0.950 0.500 0.261
# Theoretical density (g/cm³): 5.8


*x*
# ZnHgCl2 SCAN single point on PBEsol structure
data_ZnHgCl2
_chemical_formula_sum 'Zn2 Hg2 Cl4'
_symmetry_space_group_name_H-M 'I -4 m 2'
_symmetry_Int_Tables_number 119
_symmetry_space_group_name_Hall 'I -4 -2'
_cell_length_a 3.847
_cell_length_b 3.847
_cell_length_c 12.241
_cell_angle_alpha 90.00
_cell_angle_beta 90.00
_cell_angle_gamma 90.00
loop_
_atom_site_label
_atom_site_fract_x
_atom_site_fract_y
_atom_site_fract_z
Zn1 0.000 0.000 0.000
Hg1 0.000 0.500 0.750
Cl1 0.000 0.000 0.500
Cl2 0.000 0.500 0.250
# Theoretical density (g/cm³): 6.2


*y*
# ZnHgCl2 SCAN single point on PBEsol structure
data_ZnHgCl2
_chemical_formula_sum 'Zn3 Hg3 Cl6'
_symmetry_space_group_name_H-M 'R -3 m'
_symmetry_Int_Tables_number 166
_symmetry_space_group_name_Hall '-R 3 2"'
_cell_length_a 3.4836
_cell_length_b 3.4836
_cell_length_c 27.5586
_cell_angle_alpha 90.00
_cell_angle_beta 90.00
_cell_angle_gamma 120.00
loop_
_atom_site_label
_atom_site_fract_x
_atom_site_fract_y
_atom_site_fract_z
Zn1 0.0000 0.0000 0.0000
Hg1 0.0000 0.0000 0.5000
Cl1 0.0000 0.0000 0.2834
# Theoretical density (g/cm³): 5.8


It is *x* that is the least stable of them.


*w*
# ZrHgCl2 SCAN single point on PBEsol structure
data_ZrHgCl2
_chemical_formula_sum 'Zr1 Hg1 Cl2'
_symmetry_space_group_name_H-M 'P m m m'
_symmetry_Int_Tables_number 47
_cell_length_a 3.318
_cell_length_b 4.502
_cell_length_c 5.344
_cell_angle_alpha 90.00
_cell_angle_beta 90.00
_cell_angle_gamma 90.00
loop_
_symmetry_equiv_pos_as_xyz
'x,y,z'
'-x,-y,-z'
'-x,-y,z'
'x,y,-z'
'x,-y,-z'
'-x,y,z'
'-x,y,-z'
'x,-y,z'
loop_
_atom_site_label
_atom_site_fract_x
_atom_site_fract_y
_atom_site_fract_z
Zr1 0.000 0.000 0.000
Hg1 0.500 0.000 0.500
Cl1 0.000 0.500 0.500
Cl2 0.500 0.500 0.000
# Theoretical density (g/cm³): 7.5


*x*
# ZrHgCl2 SCAN single point on PBEsol structure
data_ZrHgCl2
_chemical_formula_sum 'Zr4 Hg4 Cl8'
_symmetry_space_group_name_H-M 'F -4 3 m'
_symmetry_Int_Tables_number 216
_symmetry_space_group_name_Hall 'F -4 2 3'
_cell_length_a 6.914
_cell_length_b 6.914
_cell_length_c 6.914
_cell_angle_alpha 90.00
_cell_angle_beta 90.00
_cell_angle_gamma 90.00
loop_
_atom_site_label
_atom_site_fract_x
_atom_site_fract_y
_atom_site_fract_z
Zr1 0.000 0.000 0.000
Hg1 0.250 0.250 0.250
Cl1 0.000 0.000 0.500
Cl2 0.250 0.250 0.750
# Theoretical density (g/cm³): 7.3


It is *x* that is the least stable of them.


*w*
# ZrHgCl2 SCAN single point on PBEsol structure
data_ZrHgCl2
_chemical_formula_sum 'Zr2 Hg2 Cl4'
_symmetry_space_group_name_H-M 'C 1 2/m 1'
_symmetry_Int_Tables_number 12
_cell_length_a 6.220
_cell_length_b 9.166
_cell_length_c 3.224
_cell_angle_alpha 90.00
_cell_angle_beta 118.11
_cell_angle_gamma 90.00
loop_
_symmetry_equiv_pos_as_xyz
'x,y,z'
'-x,-y,-z'
'-x,y,-z'
'x,-y,z'
'x+1/2,y+1/2,z'
'-x+1/2,-y+1/2,-z'
'-x+1/2,y+1/2,-z'
'x+1/2,-y+1/2,z'
loop_
_atom_site_label
_atom_site_fract_x
_atom_site_fract_y
_atom_site_fract_z
Zr1 0.000 0.000 0.000
Hg1 0.000 0.500 0.000
Cl1 0.250 0.250 0.000
# Theoretical density (g/cm³): 7.4


*x*
# ZrHgCl2 SCAN single point on PBEsol structure
data_ZrHgCl2
_chemical_formula_sum 'Zr2 Hg2 Cl4'
_symmetry_space_group_name_H-M 'I m m 2'
_symmetry_Int_Tables_number 44
_cell_length_a 3.159
_cell_length_b 4.343
_cell_length_c 13.575
_cell_angle_alpha 90.00
_cell_angle_beta 90.00
_cell_angle_gamma 90.00
loop_
_symmetry_equiv_pos_as_xyz
'x,y,z'
'-x,-y,z'
'-x,y,z'
'x,-y,z'
'x+1/2,y+1/2,z+1/2'
'-x+1/2,-y+1/2,z+1/2'
'-x+1/2,y+1/2,z+1/2'
'x+1/2,-y+1/2,z+1/2'
loop_
_atom_site_label
_atom_site_fract_x
_atom_site_fract_y
_atom_site_fract_z
Zr1 0.000 0.000 0.000
Hg1 0.000 0.500 0.697
Cl1 0.000 0.000 0.528
Cl2 0.000 0.500 0.354
# Theoretical density (g/cm³): 6.5


*y*
# ZrHgCl2 SCAN single point on PBEsol structure
data_ZrHgCl2
_chemical_formula_sum 'Zr3 Hg3 Cl6'
_symmetry_space_group_name_H-M 'R -3 m'
_symmetry_Int_Tables_number 166
_symmetry_space_group_name_Hall '-R 3 2"'
_cell_length_a 3.2561
_cell_length_b 3.2561
_cell_length_c 29.6575
_cell_angle_alpha 90.00
_cell_angle_beta 90.00
_cell_angle_gamma 120.00
loop_
_atom_site_label
_atom_site_fract_x
_atom_site_fract_y
_atom_site_fract_z
Zr1 0.0000 0.0000 0.0000
Hg1 0.0000 0.0000 0.5000
Cl1 0.0000 0.0000 0.2730
# Theoretical density (g/cm³): 6.6


It is *w* that is the least stable of them.


*w*
# LiTeI2Cl SCAN single point on PBEsol structure
data_LiTeI2Cl
_chemical_formula_sum 'Li1 Te1 I2 Cl1'
_symmetry_space_group_name_H-M 'P 4/m m m'
_symmetry_Int_Tables_number 123
_symmetry_space_group_name_Hall '-P 4 2'
_cell_length_a 5.732
_cell_length_b 5.732
_cell_length_c 5.291
_cell_angle_alpha 90.00
_cell_angle_beta 90.00
_cell_angle_gamma 90.00
loop_
_atom_site_label
_atom_site_fract_x
_atom_site_fract_y
_atom_site_fract_z
Li1 0.000 0.000 0.000
Te1 0.500 0.500 0.000
I1 0.000 0.500 0.500
Cl1 0.500 0.500 0.500
# Theoretical density (g/cm³): 4.0


*x*
# LiTeI2Cl SCAN single point on PBEsol structure
data_LiTeI2Cl
_chemical_formula_sum 'Li1 Te1 I2 Cl1'
_symmetry_space_group_name_H-M 'P 4/m m m'
_symmetry_Int_Tables_number 123
_symmetry_space_group_name_Hall '-P 4 2'
_cell_length_a 5.104
_cell_length_b 5.104
_cell_length_c 5.196
_cell_angle_alpha 90.00
_cell_angle_beta 90.00
_cell_angle_gamma 90.00
loop_
_atom_site_label
_atom_site_fract_x
_atom_site_fract_y
_atom_site_fract_z
Li1 0.000 0.000 0.000
Te1 0.000 0.000 0.500
I1 0.000 0.500 0.000
Cl1 0.500 0.500 0.500
# Theoretical density (g/cm³): 5.2


It is *w* that is the least stable of them.


*w*
# PbICl2 SCAN single point on PBEsol structure
data_PbICl2
_chemical_formula_sum 'Pb4 I4 Cl8'
_symmetry_space_group_name_H-M 'F m -3 m'
_symmetry_Int_Tables_number 225
_symmetry_space_group_name_Hall '-F 4 2 3'
_cell_length_a 7.441
_cell_length_b 7.441
_cell_length_c 7.441
_cell_angle_alpha 90.00
_cell_angle_beta 90.00
_cell_angle_gamma 90.00
loop_
_atom_site_label
_atom_site_fract_x
_atom_site_fract_y
_atom_site_fract_z
Pb1 0.000 0.000 0.000
I1 0.000 0.000 0.500
Cl1 0.250 0.250 0.250
# Theoretical density (g/cm³): 6.5


*x*
# PbICl2 SCAN single point on PBEsol structure
data_PbICl2
_chemical_formula_sum 'Pb3 I3 Cl6'
_symmetry_space_group_name_H-M 'R -3 m'
_symmetry_Int_Tables_number 166
_symmetry_space_group_name_Hall '-R 3 2"'
_cell_length_a 3.4745
_cell_length_b 3.4745
_cell_length_c 31.0558
_cell_angle_alpha 90.00
_cell_angle_beta 90.00
_cell_angle_gamma 120.00
loop_
_atom_site_label
_atom_site_fract_x
_atom_site_fract_y
_atom_site_fract_z
Pb1 0.0000 0.0000 0.0000
I1 0.0000 0.0000 0.5000
Cl1 0.0000 0.0000 0.0845
# Theoretical density (g/cm³): 6.2


It is *x* that is the least stable of them.


*w*
# TePtI2Cl SCAN single point on PBEsol structure
data_TePtI2Cl
_chemical_formula_sum 'Te1 Pt1 I2 Cl1'
_symmetry_space_group_name_H-M 'P 4/m m m'
_symmetry_Int_Tables_number 123
_symmetry_space_group_name_Hall '-P 4 2'
_cell_length_a 5.912
_cell_length_b 5.912
_cell_length_c 4.880
_cell_angle_alpha 90.00
_cell_angle_beta 90.00
_cell_angle_gamma 90.00
loop_
_atom_site_label
_atom_site_fract_x
_atom_site_fract_y
_atom_site_fract_z
Te1 0.000 0.000 0.000
Pt1 0.000 0.000 0.500
I1 0.000 0.500 0.000
Cl1 0.500 0.500 0.500
# Theoretical density (g/cm³): 6.0


*x*
# TePtI2Cl SCAN single point on PBEsol structure
data_TePtI2Cl
_chemical_formula_sum 'Te1 Pt1 I2 Cl1'
_symmetry_space_group_name_H-M 'P 4/m m m'
_symmetry_Int_Tables_number 123
_symmetry_space_group_name_Hall '-P 4 2'
_cell_length_a 5.458
_cell_length_b 5.458
_cell_length_c 5.161
_cell_angle_alpha 90.00
_cell_angle_beta 90.00
_cell_angle_gamma 90.00
loop_
_atom_site_label
_atom_site_fract_x
_atom_site_fract_y
_atom_site_fract_z
Te1 0.000 0.000 0.000
Pt1 0.500 0.500 0.000
I1 0.000 0.500 0.500
Cl1 0.000 0.000 0.500
# Theoretical density (g/cm³): 6.6


It is *x* that is the least stable of them.